[1]
This record from Alexandria via LeMat-Bulk describes crystalline Sc2MoP at its relaxed geometry. The functional is PBE.

Properties
Final energy (eV per atom): -7.60
Energy of formation from the pure elements (eV per atom): -0.3746

Structure (POSCAR):
```
Sc2MoP
1.0
3.386 0.000 0.000
0.000 4.437 0.000
0.000 0.000 9.476
Sc Mo P
4 2 2
direct
0.000 0.000 0.000
0.000 0.500 0.228
0.500 0.000 0.728
0.500 0.500 0.500
0.000 0.500 0.768
0.500 0.000 0.268
0.000 0.000 0.459
0.500 0.500 0.959
```

[2]
This record from Alexandria via LeMat-Bulk describes crystalline Re2TeAs at its relaxed geometry. The functional is PBE.

Properties
Relative energy among the computed polymorphs (eV/atom): 0.093
Final energy (eV per atom): -7.83
Energy relative to the elements, uncorrected (meV per atom): 338

Structure (POSCAR):
```
Re2TeAs
1.0
3.040 0.000 0.000
-1.520 2.633 0.000
0.000 0.000 30.087
Re Te As
6 3 3
direct
0.000 0.000 0.000
0.000 0.000 0.263
0.333 0.667 0.667
0.333 0.667 0.930
0.667 0.333 0.333
0.667 0.333 0.597
0.000 0.000 0.525
0.333 0.667 0.192
0.667 0.333 0.858
0.000 0.000 0.729
0.333 0.667 0.395
0.667 0.333 0.062
```

[3]
This record from Alexandria via LeMat-Bulk describes crystalline Ba2PIr at its relaxed geometry. The functional is PBE.

Properties
Final energy (eV per atom): -4.46
Energy of formation from the pure elements (eV per atom): 0.0658

Structure (POSCAR):
```
Ba2PIr
1.0
7.854 0.000 0.000
0.000 4.495 0.000
-2.563 0.000 7.776
Ba P Ir
4 2 2
direct
0.248 0.000 0.245
0.252 0.500 0.755
0.748 0.500 0.245
0.752 0.000 0.755
0.000 0.000 0.500
0.500 0.500 0.500
0.000 0.500 0.000
0.500 0.000 0.000
```

[4]
This record from Alexandria via LeMat-Bulk describes crystalline BaSrCl at its relaxed geometry. The functional is PBE.

Properties
Relative energy among the computed polymorphs (eV/atom): 0.051
Final energy (eV per atom): -2.88
Energy relative to the elements, uncorrected (meV per atom): -1068

Structure (POSCAR):
```
BaSrCl
1.0
4.330 0.000 0.000
0.000 7.331 0.000
0.000 0.000 16.608
Ba Sr Cl
4 4 4
direct
0.000 0.000 0.000
0.000 0.500 0.500
0.500 0.000 0.500
0.500 0.500 0.000
0.000 0.000 0.285
0.000 0.500 0.785
0.500 0.000 0.785
0.500 0.500 0.285
0.000 0.000 0.653
0.000 0.500 0.153
0.500 0.000 0.153
0.500 0.500 0.653
```

[5]
This record from Alexandria via LeMat-Bulk describes crystalline Pr2NdNi9 at its relaxed geometry. The functional is PBE.

Properties
Final energy (eV per atom): -5.82
Energy of formation from the pure elements (eV per atom): -0.2938

Structure (POSCAR):
```
Pr2NdNi9
1.0
2.525 1.458 8.304
-2.525 1.458 8.304
0.000 -2.916 8.304
Pr Nd Ni
2 1 9
direct
0.138 0.138 0.138
0.862 0.862 0.862
0.000 0.000 0.000
0.082 0.580 0.580
0.333 0.333 0.333
0.420 0.420 0.918
0.420 0.918 0.420
0.500 0.500 0.500
0.580 0.082 0.580
0.580 0.580 0.082
0.667 0.667 0.667
0.918 0.420 0.420
```